Entry from Alexandria via LeMat-Bulk: a geometry-optimized TbPrMgSc structure (PBE-GGA).

POSCAR file:
```
TbPrMgSc
1.0
3.3990 -0.0001 0.0006
-0.0001 3.4377 0.0022
-1.6978 -0.0056 10.0387
Tb Pr Mg Sc
1 1 1 1
direct
0.4380 0.9302 0.8756
0.2794 0.4299 0.5608
0.6585 0.9285 0.3159
0.0545 0.4299 0.1084
```

Calculated values
Final energy (eV per atom): -4.246
ΔH_f (0 K) (kJ/mol of atoms): 8
Offset from the most stable computed form (meV/atom): 69
N(E_F) (states/eV/f.u.): 6.6
Crystal system: monoclinic